## A
## ScTe2SeN (PBE)

Data for ScTe2SeN after structural relaxation.

Structure (POSCAR):
```
ScTe2SeN
1.0
5.594 0.000 0.000
0.000 5.594 0.000
0.000 0.000 3.749
Sc Te Se N
1 2 1 1
Cartesian
2.797 2.797 1.874 Sc
0.000 2.797 0.000 Te
2.797 0.000 0.000 Te
0.000 0.000 0.000 Se
0.000 0.000 1.874 N
```

Computed properties:
- Crystal system: tetragonal



## B
## ScTe2SeN (PBE)

Data for ScTe2SeN after structural relaxation.

Structure (POSCAR):
```
ScTe2SeN
1.0
-3.547 3.161 3.053
0.766 -3.418 4.430
3.069 2.267 1.219
Sc Te Se N
1 2 1 1
Cartesian
0.000 0.000 0.000 Sc
0.383 -1.709 2.215 Te
-1.773 1.581 1.526 Te
0.144 1.005 4.350 Se
1.535 1.133 0.609 N
```

Computed properties:
- Crystal system: tetragonal



Most stable structure - B; separation to the second - 17.8 kJ/mol of atoms.



## A
## ScTiSeN2 (PBE)

Data for ScTiSeN2 after structural relaxation.

Structure (POSCAR):
```
ScTiSeN2
1.0
4.013 0.000 0.000
0.000 4.013 0.000
0.000 0.000 5.216
Sc N Se Ti
1 2 1 1
Cartesian
0.000 0.000 0.000 Sc
0.000 2.006 0.000 N
2.006 0.000 0.000 N
0.000 0.000 2.608 Se
2.006 2.006 2.608 Ti
```

Computed properties:
- Crystal system: tetragonal



## B
## ScTiSeN2 (PBE)

Data for ScTiSeN2 after structural relaxation.

Structure (POSCAR):
```
ScTiSeN2
1.0
-2.605 0.109 -2.909
2.851 -0.694 -2.579
-0.770 -5.026 0.502
Sc N Se Ti
1 2 1 1
Cartesian
-0.262 -2.806 -2.493 Sc
1.425 -0.347 -1.290 N
-1.303 0.054 -1.454 N
-0.385 -2.513 0.251 Se
0.000 0.000 0.000 Ti
```

Computed properties:
- Crystal system: tetragonal



Most stable structure - B; separation to the second - 79.7 kJ/mol of atoms.



## A
## ScVSe2N (PBE)

Data for ScVSe2N after structural relaxation.

Structure (POSCAR):
```
ScVSe2N
1.0
5.164 0.000 0.000
0.000 5.164 0.000
0.000 0.000 3.980
Sc N Se V
1 1 2 1
Cartesian
0.000 0.000 0.000 Sc
0.000 0.000 1.990 N
0.000 2.582 0.000 Se
2.582 0.000 0.000 Se
2.582 2.582 1.990 V
```

Computed properties:
- Crystal system: tetragonal



## B
## ScVSe2N (PBE)

Data for ScVSe2N after structural relaxation.

Structure (POSCAR):
```
ScVSe2N
1.0
4.962 0.000 0.000
0.000 4.962 0.000
0.000 0.000 3.639
Sc N Se V
1 1 2 1
Cartesian
2.481 2.481 1.819 Sc
0.000 0.000 1.819 N
0.000 2.481 0.000 Se
2.481 0.000 0.000 Se
0.000 0.000 0.000 V
```

Computed properties:
- Crystal system: tetragonal



Most stable structure - B; separation to the second - 92.7 kJ/mol of atoms.



## A
## ScWSe2N (PBE)

Data for ScWSe2N after structural relaxation.

Structure (POSCAR):
```
ScWSe2N
1.0
-3.984 3.017 -0.924
-3.013 -3.196 2.556
0.701 1.910 3.215
Sc Se W N
1 2 1 1
Cartesian
-3.148 0.866 2.423 Sc
-1.507 -1.598 1.278 Se
-1.992 1.508 -0.462 Se
0.000 0.000 0.000 W
0.350 0.955 1.608 N
```

Computed properties:
- Crystal system: tetragonal



## B
## ScWSe2N (PBE)

Data for ScWSe2N after structural relaxation.

Structure (POSCAR):
```
ScWSe2N
1.0
5.138 0.000 0.000
0.000 5.138 0.000
0.000 0.000 3.988
Sc Se W N
1 2 1 1
Cartesian
0.000 0.000 0.000 Sc
0.000 2.569 0.000 Se
2.569 0.000 0.000 Se
2.569 2.569 1.994 W
0.000 0.000 1.994 N
```

Computed properties:
- Crystal system: tetragonal



Most stable structure - A; separation to the second - 101.1 kJ/mol of atoms.



## A
## YScSe2N (PBE)

Data for YScSe2N after structural relaxation.

Structure (POSCAR):
```
YScSe2N
1.0
-1.584 -2.535 4.543
-2.698 -3.660 -2.983
3.348 -2.350 -0.144
Y Sc Se N
1 1 2 1
Cartesian
0.000 0.000 0.000 Y
-0.467 -4.273 0.708 Sc
-1.349 -1.830 -1.492 Se
-0.792 -1.268 2.271 Se
1.674 -1.175 -0.072 N
```

Computed properties:
- Crystal system: tetragonal



## B
## YScSe2N (PBE)

Data for YScSe2N after structural relaxation.

Structure (POSCAR):
```
YScSe2N
1.0
5.186 0.000 0.000
0.000 5.186 0.000
0.000 0.000 4.038
Y Sc Se N
1 1 2 1
Cartesian
2.593 2.593 2.019 Y
0.000 0.000 0.000 Sc
0.000 2.593 0.000 Se
2.593 0.000 0.000 Se
0.000 0.000 2.019 N
```

Computed properties:
- Crystal system: tetragonal



Most stable structure - B; separation to the second - 50.9 kJ/mol of atoms.



## A
## ScZnSe2N (PBE)

Data for ScZnSe2N after structural relaxation.

Structure (POSCAR):
```
ScZnSe2N
1.0
-3.489 -3.530 1.656
3.659 -3.732 -0.246
1.065 0.785 3.917
Sc Zn Se N
1 1 2 1
Cartesian
0.000 0.000 0.000 Sc
0.617 -3.239 2.663 Zn
1.829 -1.866 -0.123 Se
-1.745 -1.765 0.828 Se
0.532 0.393 1.959 N
```

Computed properties:
- Crystal system: tetragonal



## B
## ScZnSe2N (PBE)

Data for ScZnSe2N after structural relaxation.

Structure (POSCAR):
```
ScZnSe2N
1.0
-4.249 0.124 2.124
1.809 -0.462 3.646
0.350 4.720 0.424
Sc Zn Se N
1 1 2 1
Cartesian
0.905 -0.231 1.823 Sc
-1.045 2.191 3.097 Zn
0.175 2.360 0.212 Se
-2.125 0.062 1.062 Se
0.000 0.000 0.000 N
```

Computed properties:
- Crystal system: tetragonal



Most stable structure - B; separation to the second - 14.1 kJ/mol of atoms.



## A
## ScSiTe2N (PBE)

Data for ScSiTe2N after structural relaxation.

Structure (POSCAR):
```
ScSiTe2N
1.0
5.610 0.000 0.000
0.000 5.610 0.000
0.000 0.000 3.332
Sc Si Te N
1 1 2 1
Cartesian
2.805 2.805 1.666 Sc
0.000 0.000 0.000 Si
0.000 2.805 0.000 Te
2.805 0.000 0.000 Te
0.000 0.000 1.666 N
```

Computed properties:
- Crystal system: tetragonal



## B
## ScSiTe2N (PBE)

Data for ScSiTe2N after structural relaxation.

Structure (POSCAR):
```
ScSiTe2N
1.0
-0.271 4.502 -3.456
-4.670 1.789 2.698
2.226 2.049 2.494
Sc Si Te N
1 1 2 1
Cartesian
0.000 0.000 0.000 Sc
-1.358 4.170 0.868 Si
-2.335 0.895 1.349 Te
-0.136 2.251 -1.728 Te
1.113 1.024 1.247 N
```

Computed properties:
- Crystal system: tetragonal



Most stable structure - A; separation to the second - 48.4 kJ/mol of atoms.